SrTbCuSe2S | PBE | optimized geometry

The structure belongs to space group Cmcm (No. 63); the cell edges are 4.0542, 13.4629 and 10.3550 Å and the angles 90.00°, 90.00° and 90.00°. Symmetry generates all atoms from Sr at (0.0000, 0.2381, 0.2500), Tb at (0.0000, 0.5000, 0.0000), Cu at (0.0000, 0.0259, 0.7500), Se at (0.0000, 0.1427, 0.5659) and S at (0.0000, 0.4288, 0.7500).

The calculation puts the raw total energy at -123.1 eV for the cell shown. The theoretical density comes out at 5.877 g/cm3. The calculation puts the total moment at 0.001 μB per formula unit.

***

SrTbCuSeS2 | PBE | optimized geometry

The structure belongs to space group Cmcm (No. 63); the cell edges are 3.9879, 13.4224 and 10.5644 Å and the angles 90.00°, 90.00° and 90.00°. Symmetry generates all atoms from Sr at (0.0000, 0.2368, 0.2500), Tb at (0.0000, 0.0000, 0.0000), Cu at (0.0000, 0.4735, 0.7500), Se at (0.0000, 0.0863, 0.7500) and S at (0.0000, 0.3689, 0.5737).

The calculation puts the raw total energy at -126.4 eV for the cell shown. The theoretical density comes out at 5.323 g/cm3. The calculation puts the total moment at 0.001 μB per formula unit.

***

SrYCuSeS2 | PBE | optimized geometry

The structure belongs to space group Cmcm (No. 63); the cell edges are 3.9786, 13.3892 and 10.5347 Å and the angles 90.00°, 90.00° and 90.00°. Symmetry generates all atoms from Sr at (0.0000, 0.2350, 0.2500), Y at (0.0000, 0.0000, 0.0000), Cu at (0.0000, 0.4742, 0.7500), Se at (0.0000, 0.0872, 0.7500) and S at (0.0000, 0.3695, 0.5732).

The calculation puts the raw total energy at -133.7 eV for the cell shown. The theoretical density comes out at 4.535 g/cm3. The calculation puts the total moment at 0.002 μB per formula unit.

***

SrYCuSe2S | PBE | optimized geometry

The structure belongs to space group Cmcm (No. 63); the cell edges are 4.0484, 13.4521 and 10.3320 Å and the angles 90.00°, 90.00° and 90.00°. Symmetry generates all atoms from Sr at (0.0000, 0.2381, 0.2500), Y at (0.0000, 0.5000, 0.0000), Cu at (0.0000, 0.0260, 0.7500), Se at (0.0000, 0.1425, 0.5652) and S at (0.0000, 0.4289, 0.7500).

The calculation puts the raw total energy at -130.5 eV for the cell shown. The theoretical density comes out at 5.077 g/cm3. The calculation puts the total moment at 0.001 μB per formula unit.

***

TaTlCuSe2S | PBE | optimized geometry

The structure belongs to space group Cmcm (No. 63); the cell edges are 3.6075, 15.1381 and 9.6120 Å and the angles 90.00°, 90.00° and 90.00°. Symmetry generates all atoms from Ta at (0.0000, 0.0000, 0.0000), Tl at (0.0000, 0.2596, 0.2500), Cu at (0.0000, 0.4653, 0.7500), Se at (0.0000, 0.3753, 0.5448) and S at (0.0000, 0.0586, 0.7500).

The calculation puts the raw total energy at -129.0 eV for the cell shown. The theoretical density comes out at 8.084 g/cm3. The calculation puts the total moment at 0.017 μB per formula unit.

***

TlCuTcSeS2 | PBE | optimized geometry

The structure belongs to space group Cmcm (No. 63); the cell edges are 3.5365, 14.9118 and 9.6193 Å and the angles 90.00°, 90.00° and 90.00°. Symmetry generates all atoms from Tl at (0.0000, 0.2415, 0.2500), Cu at (0.0000, 0.4567, 0.7500), Tc at (0.0000, 0.0000, 0.0000), Se at (0.0000, 0.0706, 0.7500) and S at (0.0000, 0.3882, 0.5421).

The calculation puts the raw total energy at -118.5 eV for the cell shown. The theoretical density comes out at 6.665 g/cm3. The calculation puts the total moment at 2.100 μB per formula unit.

***

ZrCu2TeSeS | PBE | optimized geometry

The structure belongs to space group C2/m (No. 12); the cell edges are 19.3555, 3.9195 and 6.9033 Å and the angles 90.00°, 96.62° and 90.00°. Symmetry generates all atoms from Zr at (0.1449, 0.0000, 0.0423), Cu at (0.0418, 0.5000, 0.1619), Cu at (0.2138, 0.0000, 0.4282), Te at (0.0798, 0.0000, 0.3883), Se at (0.2466, 0.5000, 0.2161) and S at (0.0843, 0.5000, 0.8619).

The calculation puts the raw total energy at -123.8 eV for the cell shown. The theoretical density comes out at 5.834 g/cm3. The relative energy among the computed polymorphs comes out at 0.021 eV/atom. The calculation puts the total moment at 0.004 μB per formula unit.

***

ZrCu2TeSeS | PBE | optimized geometry

The structure belongs to space group C2/m (No. 12); the cell edges are 19.2477, 3.8952 and 6.8517 Å and the angles 90.00°, 95.69° and 90.00°. Symmetry generates all atoms from Zr at (0.1558, 0.0000, 0.0463), Cu at (0.0458, 0.5000, 0.1527), Cu at (0.2125, 0.0000, 0.4453), Te at (0.0802, 0.0000, 0.3829), Se at (0.0881, 0.5000, 0.8350) and S at (0.2448, 0.5000, 0.2219).

The calculation puts the raw total energy at -123.1 eV for the cell shown. The theoretical density comes out at 5.938 g/cm3. The relative energy among the computed polymorphs comes out at 0.054 eV/atom. The calculation puts the total moment at 0.005 μB per formula unit.